Below is a geometry-optimized ZnIn2HgPb structure, with properties calculated at the GGA-PBE level. Values from VASP.

Summary:
Space group: P4/mmm (123)
Energy relative to the elements (eV per formula unit): 2.62

```
&SYSTEM
  ibrav = 0, nat = 5, ntyp = 4
/
ATOMIC_SPECIES
Zn 65.41 Zn.upf
In 114.82 In.upf
Hg 200.59 Hg.upf
Pb 207.20 Pb.upf
CELL_PARAMETERS angstrom
6.046 0.000 0.000
0.000 6.046 0.000
0.000 0.000 5.862
ATOMIC_POSITIONS crystal
Zn 0.000 0.000 0.000
In 0.000 0.500 0.500
In 0.500 0.000 0.500
Hg 0.500 0.500 0.000
Pb 0.500 0.500 0.500
```